Material: PmGa
Method: DFT, GGA-PBE
State: relaxed Values from VASP.

Structure (Quantum ESPRESSO input):
```
&SYSTEM
  ibrav = 0, nat = 2, ntyp = 2
/
ATOMIC_SPECIES
Ga 69.72 Ga.upf
Pm 145.00 Pm.upf
ATOMIC_POSITIONS angstrom
Ga 0.000 0.000 0.000
Pm 3.045 3.045 3.045
CELL_PARAMETERS angstrom
0.000 3.045 3.045
3.045 0.000 3.045
3.045 3.045 0.000
```

Computed properties:
Total DFT energy (no corrections), eV/atom: -4.161
Calculated density, g/cm3: 6.315
Space-group type: Fm-3m


Material: SiSn2Pd6
Method: DFT, GGA-PBE
State: relaxed Values from VASP.

Structure (Quantum ESPRESSO input):
```
&SYSTEM
  ibrav = 0, nat = 9, ntyp = 3
/
ATOMIC_SPECIES
Pd 106.42 Pd.upf
Si 28.09 Si.upf
Sn 118.71 Sn.upf
ATOMIC_POSITIONS angstrom
Pd 1.738 0.000 0.000
Pd -0.869 1.505 0.000
Pd 2.647 4.584 0.000
Pd 4.357 0.000 1.720
Pd 1.337 2.316 1.720
Pd -2.179 3.774 1.720
Si 0.000 0.000 1.720
Sn 3.516 2.030 0.000
Sn 0.000 4.059 0.000
CELL_PARAMETERS angstrom
7.031 0.000 0.000
-3.516 6.089 0.000
0.000 0.000 3.440
```

Computed properties:
Total DFT energy (no corrections), eV/atom: -5.572
Calculated density, g/cm3: 10.192
Space-group type: P-62m


Material: Pr3Dy2ErCoTe2
Method: DFT, GGA-PBE
State: relaxed Values from VASP.

Structure (Quantum ESPRESSO input):
```
&SYSTEM
  ibrav = 0, nat = 9, ntyp = 5
/
ATOMIC_SPECIES
Co 58.93 Co.upf
Dy 162.50 Dy.upf
Er 167.26 Er.upf
Pr 140.91 Pr.upf
Te 127.60 Te.upf
ATOMIC_POSITIONS angstrom
Co 0.000 0.000 0.007
Dy 2.013 5.657 3.267
Dy 2.013 -5.657 3.267
Er 2.013 0.000 1.962
Pr 0.000 2.970 1.714
Pr 0.000 -2.970 1.714
Pr 0.000 0.000 5.066
Te 2.013 2.451 4.248
Te 2.013 -2.451 4.248
CELL_PARAMETERS angstrom
4.025 0.000 0.000
0.000 7.361 4.249
0.000 -7.361 4.249
```

Computed properties:
Total DFT energy (no corrections), eV/atom: -5.319
Calculated density, g/cm3: 8.106
Space-group type: Amm2


Material: TbThMo
Method: DFT, GGA-PBE
State: relaxed Values from VASP.

Structure (Quantum ESPRESSO input):
```
&SYSTEM
  ibrav = 0, nat = 3, ntyp = 3
/
ATOMIC_SPECIES
Mo 95.94 Mo.upf
Tb 158.93 Tb.upf
Th 232.04 Th.upf
ATOMIC_POSITIONS angstrom
Mo 0.000 0.000 0.000
Tb 1.738 1.738 1.738
Th 5.215 5.215 5.215
CELL_PARAMETERS angstrom
0.000 3.477 3.477
3.477 0.000 3.477
3.477 3.477 0.000
```

Computed properties:
Total DFT energy (no corrections), eV/atom: -7.220
ΔH_f (0 K), meV per atom: 410
Calculated density, g/cm3: 9.620
Energy relative to the lowest polymorph listed for this composition, meV per atom: 0
Space-group type: F-43m


Material: RbLiPt
Method: DFT, GGA-PBE
State: relaxed Values from VASP.

Structure (Quantum ESPRESSO input):
```
&SYSTEM
  ibrav = 0, nat = 3, ntyp = 3
/
ATOMIC_SPECIES
Li 6.94 Li.upf
Pt 195.08 Pt.upf
Rb 85.47 Rb.upf
ATOMIC_POSITIONS angstrom
Li -2.765 -0.925 -0.963
Pt 0.000 0.000 0.000
Rb -8.294 -2.775 -2.889
CELL_PARAMETERS angstrom
-3.257 -3.812 -0.042
-4.926 0.908 0.218
-2.877 -0.796 -4.029
```

Computed properties:
Total DFT energy (no corrections), eV/atom: -2.844
Calculated density, g/cm3: 5.356
Energy relative to the lowest polymorph listed for this composition, meV per atom: 0
Space-group type: F-43m


Material: ErNi7B3
Method: DFT, GGA-PBE
State: relaxed Values from VASP.

Structure (Quantum ESPRESSO input):
```
&SYSTEM
  ibrav = 0, nat = 44, ntyp = 3
/
ATOMIC_SPECIES
B 10.81 B.upf
Er 167.26 Er.upf
Ni 58.69 Ni.upf
ATOMIC_POSITIONS angstrom
B 0.000 0.000 0.911
B 0.000 0.000 14.684
B -1.607 1.914 9.747
B 1.914 -1.607 5.848
B 1.914 1.607 5.848
B 1.607 1.914 9.747
B 0.000 3.828 2.988
B 0.000 3.828 4.810
B 2.221 1.914 1.949
B 1.914 2.221 -1.949
B 5.434 1.914 1.949
B 1.914 5.434 -1.949
Er 0.000 0.000 4.429
Er 0.000 0.000 11.165
Er 3.828 0.000 0.531
Er 3.828 0.000 7.267
Ni -2.391 2.391 7.797
Ni 2.391 -2.391 7.797
Ni -1.436 2.391 3.899
Ni 0.000 1.240 8.678
Ni 1.240 0.000 6.917
Ni 1.622 0.000 2.230
Ni 3.828 -2.206 5.567
Ni 0.000 1.914 1.949
Ni -1.914 3.828 5.848
Ni 0.000 2.206 6.129
Ni 2.206 0.000 9.466
Ni 2.588 0.000 4.779
Ni 3.828 -1.240 3.019
Ni 1.436 1.436 0.000
Ni 1.436 2.391 3.899
Ni -1.436 5.264 3.899
Ni 2.391 2.391 7.797
Ni 3.828 1.240 3.019
Ni 5.068 0.000 4.779
Ni 1.622 3.828 1.669
Ni 3.828 1.622 -1.669
Ni 0.000 5.742 1.949
Ni 1.914 3.828 5.848
Ni 3.828 2.206 5.567
Ni 6.034 0.000 2.230
Ni 2.588 3.828 -0.880
Ni 3.828 2.588 0.880
Ni 1.436 5.264 3.899
CELL_PARAMETERS angstrom
-3.828 3.828 7.797
3.828 -3.828 7.797
3.828 3.828 -7.797
```

Computed properties:
Total DFT energy (no corrections), eV/atom: -6.213
Calculated density, g/cm3: 8.874
Space-group type: I4_1/amd


Material: DyZnSn
Method: DFT, GGA-PBE
State: relaxed Values from VASP.

Structure (Quantum ESPRESSO input):
```
&SYSTEM
  ibrav = 0, nat = 12, ntyp = 3
/
ATOMIC_SPECIES
Dy 162.50 Dy.upf
Sn 118.71 Sn.upf
Zn 65.41 Zn.upf
ATOMIC_POSITIONS angstrom
Dy 0.000 0.000 0.000
Dy 3.348 -0.958 1.880
Dy 6.696 -1.915 3.760
Dy 10.044 -2.873 5.639
Sn 0.237 -2.247 2.206
Sn 3.900 -3.294 4.263
Sn 7.111 -1.737 6.885
Sn 10.774 -2.784 8.942
Zn 1.051 -0.003 3.482
Zn 3.442 -0.687 4.825
Zn 7.569 -4.344 6.323
Zn 9.960 -5.028 7.665
CELL_PARAMETERS angstrom
-0.924 3.038 3.193
-1.457 -4.238 0.436
13.392 -3.830 7.519
```

Computed properties:
Total DFT energy (no corrections), eV/atom: -3.876
Calculated density, g/cm3: 8.283
Space-group type: P6_3/mmc


Material: PrMg2Si2
Method: DFT, GGA-PBE
State: relaxed Values from VASP.

Structure (Quantum ESPRESSO input):
```
&SYSTEM
  ibrav = 0, nat = 5, ntyp = 3
/
ATOMIC_SPECIES
Mg 24.30 Mg.upf
Pr 140.91 Pr.upf
Si 28.09 Si.upf
ATOMIC_POSITIONS angstrom
Mg -1.232 3.249 0.953
Mg -2.937 0.923 1.872
Pr 0.000 0.000 0.000
Si -2.675 1.654 -0.776
Si -3.797 3.545 1.928
CELL_PARAMETERS angstrom
-0.598 3.353 -2.592
-4.008 -1.299 -0.755
-1.866 3.145 4.499
```

Computed properties:
Total DFT energy (no corrections), eV/atom: -4.192
Calculated density, g/cm3: 3.842
Energy relative to the lowest polymorph listed for this composition, meV per atom: 0
Space-group type: P4/mmm


Material: Rb4Cd3In
Method: DFT, GGA-PBE
State: relaxed Values from VASP.

Structure (Quantum ESPRESSO input):
```
&SYSTEM
  ibrav = 0, nat = 8, ntyp = 3
/
ATOMIC_SPECIES
Cd 112.41 Cd.upf
In 114.82 In.upf
Rb 85.47 Rb.upf
ATOMIC_POSITIONS angstrom
Cd -1.927 0.098 -3.021
Cd -2.198 -3.325 -4.416
Cd -3.808 -5.610 -1.982
In 0.000 0.000 0.000
Rb 1.339 -1.139 -3.829
Rb -0.196 -3.377 -1.382
Rb -3.537 -2.187 -0.587
Rb -5.539 -2.134 -3.621
CELL_PARAMETERS angstrom
-0.495 2.273 -5.485
3.173 -4.550 -2.172
-7.075 -4.373 -1.175
```

Computed properties:
Total DFT energy (no corrections), eV/atom: -1.096
Calculated density, g/cm3: 4.422
Space-group type: P-4m2


Material: LiCoBSb
Method: DFT, GGA-PBE
State: relaxed Values from VASP.

Structure (Quantum ESPRESSO input):
```
&SYSTEM
  ibrav = 0, nat = 4, ntyp = 4
/
ATOMIC_SPECIES
B 10.81 B.upf
Co 58.93 Co.upf
Li 6.94 Li.upf
Sb 121.76 Sb.upf
ATOMIC_POSITIONS angstrom
B 0.000 0.000 0.000
Co -0.614 -2.267 0.925
Li -1.842 -6.801 2.774
Sb -1.228 -4.534 1.849
CELL_PARAMETERS angstrom
0.277 -2.486 3.276
-3.126 -2.513 0.950
0.393 -4.069 -0.528
```

Computed properties:
Total DFT energy (no corrections), eV/atom: -4.514
Calculated density, g/cm3: 6.655
Energy relative to the lowest polymorph listed for this composition, meV per atom: 0
Space-group type: F-43m


Material: DyBeO3
Method: DFT, GGA-PBE
State: relaxed Values from VASP.

Structure (Quantum ESPRESSO input):
```
&SYSTEM
  ibrav = 0, nat = 10, ntyp = 3
/
ATOMIC_SPECIES
Be 9.01 Be.upf
Dy 162.50 Dy.upf
O 16.00 O.upf
ATOMIC_POSITIONS angstrom
Be 7.352 -5.764 -0.577
Be 1.858 -3.102 -2.548
Dy 5.015 -3.615 0.069
Dy 4.194 -5.250 -3.194
O 3.960 -2.136 -1.224
O 3.701 -5.374 0.463
O 6.915 -4.271 -0.898
O 2.294 -4.595 -2.227
O 5.508 -3.492 -3.588
O 5.250 -6.729 -1.901
CELL_PARAMETERS angstrom
5.209 -0.686 -0.966
2.452 -4.462 1.619
1.549 -3.718 -3.777
```

Computed properties:
Total DFT energy (no corrections), eV/atom: -7.004
Calculated density, g/cm3: 6.441
Space-group type: R-3


Material: Th4Pt2Se3
Method: DFT, GGA-PBE
State: relaxed Values from VASP.

Structure (Quantum ESPRESSO input):
```
&SYSTEM
  ibrav = 0, nat = 9, ntyp = 3
/
ATOMIC_SPECIES
Pt 195.08 Pt.upf
Se 78.96 Se.upf
Th 232.04 Th.upf
ATOMIC_POSITIONS angstrom
Pt 0.000 0.000 0.000
Pt 1.970 0.243 4.953
Se 4.057 0.213 -1.425
Se 3.381 1.537 2.274
Se 7.059 1.645 0.766
Th 1.055 -0.841 2.637
Th 0.250 0.719 7.000
Th 5.163 -0.615 1.223
Th 4.603 0.854 5.234
CELL_PARAMETERS angstrom
-1.554 2.848 8.005
0.665 -3.491 1.371
8.023 0.272 -3.196
```

Computed properties:
Total DFT energy (no corrections), eV/atom: -6.852
Calculated density, g/cm3: 10.487
Space-group type: Pm


Among the records above, which one has the lowest total DFT energy (no corrections)?
TbThMo